Entry from Alexandria via LeMat-Bulk: a geometry-optimized KBi2HAu structure (PBE-GGA).

Computed properties:
As for the spin magnetization: 0.00 Bohr magnetons per cell. For the energy, the calculation gives -2.9206 eV per atom. Its density of states at the Fermi level is 0.3395 states/eV per atom.

abc: 5.1786 5.1786 4.3139
angles: 90.00 90.00 90.00
Space group P4/mmm (No. 123)
Asymmetric unit:
K 0.0000 0.0000 0.0000 (multiplicity 1)
Bi 0.0000 0.5000 0.5000 (multiplicity 2)
H 0.5000 0.5000 0.5000 (multiplicity 1)
Au 0.5000 0.5000 0.0000 (multiplicity 1)

---

Entry from Alexandria via LeMat-Bulk: a geometry-optimized NaPa2BeO6 structure (PBE-GGA).

Computed properties:
As for the spin magnetization: 0.69 Bohr magnetons per cell. The uncorrected formation energy is -2.658 eV/atom. For the energy, the calculation gives -8.0367 eV per atom. Its density of states at the Fermi level is 0.4381 states/eV per atom.

abc: 5.0973 5.0973 4.9197
angles: 90.00 90.00 90.00
Space group P4mm (No. 99)
Asymmetric unit:
Na 0.0000 0.0000 0.0000 (multiplicity 1)
Pa 0.0000 0.5000 0.4450 (multiplicity 2)
Be 0.5000 0.5000 0.0479 (multiplicity 1)
O 0.0000 0.0000 0.5748 (multiplicity 1)
O 0.2694 0.2694 0.1925 (multiplicity 4)
O 0.5000 0.5000 0.7042 (multiplicity 1)

---

Entry from Alexandria via LeMat-Bulk: a geometry-optimized Li2MnSe structure (PBE-GGA).

Computed properties:
As for the spin magnetization: 7.05 Bohr magnetons per cell. The uncorrected formation energy is -0.199 eV/atom. For the energy, the calculation gives -4.3191 eV per atom. Its density of states at the Fermi level is 0.5426 states/eV per atom.

abc: 3.5144 4.0291 9.0835
angles: 90.00 90.00 90.00
Space group Immm (No. 71)
Asymmetric unit:
Li 0.0000 0.0000 0.2262 (multiplicity 4)
Mn 0.0000 0.5000 0.0000 (multiplicity 2)
Se 0.0000 0.5000 0.5000 (multiplicity 2)